First-principles (PBE+U) data for a relaxed BaV2P4O14 crystal, as listed in Alexandria.

## Properties
Energy above the most stable polymorph in this dataset: 8 meV/atom
Space-group type: C2/c, No. 15
Total magnetization: 4.00 μB per formula unit

Unit cell a=7.592 b=7.592 c=9.940 alpha=80.62 beta=80.62 gamma=89.37
Atoms (fractional coordinates):
O1 0.147 0.795 0.577
O2 0.786 0.945 0.659
O3 0.852 0.855 0.905
O4 0.270 0.593 0.406
O5 0.634 0.428 0.108
V1 0.000 0.000 0.500
P1 0.625 0.249 0.055
O6 0.148 0.145 0.095
O7 0.260 0.379 0.209
O8 0.214 0.055 0.341
P2 0.751 0.375 0.445
P3 0.249 0.625 0.555
P4 0.375 0.751 0.945
O9 0.467 0.127 0.154
O10 0.145 0.148 0.595
O11 0.055 0.214 0.841
O12 0.572 0.366 0.392
O13 0.407 0.730 0.094
Ba1 0.000 0.500 0.000
V2 0.545 0.455 0.750
O14 0.379 0.260 0.709
O15 0.730 0.407 0.594
O16 0.855 0.852 0.405
P5 0.260 0.179 0.202
P6 0.179 0.260 0.702
O17 0.428 0.634 0.608
P7 0.821 0.740 0.298
O18 0.795 0.147 0.077
O19 0.127 0.467 0.654
O20 0.945 0.786 0.159
O21 0.740 0.621 0.791
V3 0.000 0.000 0.000
O22 0.621 0.740 0.291
V4 0.455 0.545 0.250
O23 0.593 0.270 0.906
O24 0.533 0.873 0.846
Ba2 0.500 0.000 0.500
P8 0.740 0.821 0.798
O25 0.366 0.572 0.892
O26 0.853 0.205 0.423
O27 0.873 0.533 0.346
O28 0.205 0.853 0.923